GGA-PBE La6H2C3Cl, relaxed; calculated total energy = -72.08 eV for the cell shown; SG = C2/m, No. 12
1.0
-3.711 -0.830 -0.570
1.792 -7.874 -0.204
0.142 2.413 8.537
La C H Cl
6 3 2 1
direct
0.678 0.071 0.356
0.340 0.394 0.681
0.996 0.279 0.992
0.004 0.721 0.008
0.322 0.929 0.644
0.660 0.606 0.319
0.500 0.500 0.000
0.836 0.167 0.672
0.164 0.833 0.328
0.168 0.331 0.335
0.832 0.669 0.665
0.500 0.000 0.000



GGA-PBE KPrAgCl5, relaxed; formation energy without anion corrections = -1.739 eV/atom; SG = C2/c, No. 15
1.0
-4.056 -1.750 6.349
1.643 -6.478 -3.892
9.174 2.609 3.900
Cl Pr K Ag
10 2 2 2
direct
0.374 0.261 0.058
0.930 0.318 0.114
0.626 0.739 0.942
0.911 0.089 0.750
0.682 0.070 0.386
0.070 0.682 0.886
0.261 0.374 0.558
0.739 0.626 0.442
0.089 0.911 0.250
0.318 0.930 0.614
0.000 0.000 0.000
0.000 0.000 0.500
0.354 0.646 0.250
0.646 0.354 0.750
0.315 0.685 0.750
0.685 0.315 0.250



GGA-PBE RbAcHgAu, relaxed; energy of formation = -0.263 eV per atom; SG = F-43m, No. 216
1.0
-2.192 5.242 -0.006
-2.782 1.922 4.567
2.317 4.052 3.241
Au Ac Hg Rb
1 1 1 1
direct
0.250 0.250 0.250
0.500 0.500 0.500
0.750 0.750 0.750
0.000 0.000 0.000



GGA-PBE SmEr5, relaxed; energy of formation = 0.022 eV per atom; SG = Cmmm, No. 65
1.0
-3.230 -1.970 -3.250
3.796 -1.789 -2.688
-2.053 -5.428 5.332
Er Sm
5 1
direct
0.500 0.833 0.666
0.500 0.500 0.000
0.500 0.167 0.334
0.000 0.332 0.665
0.000 0.668 0.335
0.000 0.000 0.000



GGA-PBE BaNa2TcCl, relaxed; formation energy without anion corrections = 0.360 eV/atom; SG = P4/mmm, No. 123
1.0
-4.574 -3.031 -1.878
1.507 -3.639 2.203
-2.994 1.606 4.700
Na Tc Ba Cl
2 1 1 1
direct
0.000 0.000 0.500
0.500 0.000 0.000
0.000 0.000 0.000
0.500 0.500 0.500
0.000 0.500 0.000



GGA-PBE Cr2NiHg, relaxed; energy of formation = 0.419 eV per atom; SG = Pmmm, No. 47
1.0
-1.379 2.481 -2.725
-0.767 -2.144 -1.563
-5.487 -2.174 0.797
Cr Ni Hg
2 1 1
direct
0.000 0.431 0.568
0.000 0.069 0.932
0.500 0.750 0.750
0.500 0.250 0.250



GGA-PBE KBa2RhI, relaxed; formation energy without anion corrections = -0.409 eV/atom; SG = P4/mmm, No. 123
1.0
-0.123 3.091 5.060
1.379 -4.908 3.031
6.206 1.334 -0.663
Rh Ba I K
1 2 1 1
direct
0.000 0.000 0.000
0.000 0.500 0.000
0.500 0.000 0.000
0.500 0.500 0.500
0.000 0.000 0.500



GGA-PBE RbTlS2, relaxed; formation energy without anion corrections = -0.636 eV/atom; SG = C2/c, No. 15
1.0
-12.043 2.311 -13.058
-2.785 -7.215 -2.509
-3.794 -1.013 7.120
S Tl Rb
16 8 8
direct
0.559 0.581 0.296
0.941 0.796 0.081
0.251 0.801 0.824
0.249 0.324 0.301
0.751 0.676 0.699
0.558 0.081 0.294
0.749 0.199 0.176
0.750 0.198 0.698
0.250 0.802 0.302
0.250 0.324 0.824
0.441 0.419 0.704
0.442 0.919 0.706
0.059 0.204 0.919
0.058 0.206 0.419
0.942 0.794 0.581
0.750 0.676 0.176
0.342 0.745 0.632
0.842 0.868 0.755
0.158 0.132 0.245
0.158 0.131 0.742
0.842 0.869 0.258
0.658 0.758 0.369
0.658 0.255 0.368
0.342 0.242 0.631
0.387 0.460 0.168
0.613 0.540 0.832
0.883 0.337 0.538
0.113 0.668 0.960
0.383 0.962 0.163
0.117 0.663 0.462
0.887 0.332 0.040
0.617 0.038 0.837



GGA-PBE Ac4RuI5, relaxed; formation energy without anion corrections = -1.141 eV/atom; SG = C2/m, No. 12
1.0
-3.424 -1.207 2.584
-4.928 -2.969 -7.917
6.968 -7.813 1.741
I Ac Ru
5 4 1
direct
0.831 0.649 0.663
0.824 0.164 0.648
0.500 0.500 0.000
0.176 0.836 0.352
0.169 0.351 0.337
0.001 0.792 0.002
0.643 0.081 0.286
0.999 0.208 0.998
0.357 0.919 0.714
0.500 0.000 0.000



GGA-PBE LaPr2Cd5, relaxed; energy of formation = -0.321 eV per atom; SG = I4/mmm, No. 139
1.0
5.305 0.000 0.000
0.000 5.305 0.000
-2.652 -2.652 7.824
Pr Cd La
2 5 1
direct
0.734 0.734 0.467
0.266 0.266 0.533
0.382 0.882 0.763
0.882 0.382 0.763
0.118 0.618 0.237
0.618 0.118 0.237
0.500 0.500 0.000
0.000 0.000 0.000



GGA-PBE TbPmEr2Bi4, relaxed; energy of formation = -0.859 eV per atom; SG = P2/m, No. 10
1.0
-2.623 -2.626 -2.538
5.905 -1.132 -4.931
4.085 -6.236 2.230
Er Tb Bi Pm
2 1 4 1
direct
0.500 0.000 0.500
0.000 0.000 0.000
0.000 0.500 0.500
0.000 0.243 0.255
0.500 0.245 0.749
0.500 0.755 0.251
0.000 0.757 0.745
0.500 0.500 0.000



GGA-PBE Cr2AgSe, relaxed; formation energy without anion corrections = 0.459 eV/atom; SG = F-43m, No. 216
1.0
-3.917 0.315 -2.399
-3.904 -1.721 1.731
-3.341 2.838 1.409
Se Ag Cr
1 1 2
direct
0.750 0.750 0.750
0.500 0.500 0.500
0.250 0.250 0.250
0.000 0.000 0.000



GGA-PBE HfVBi2, relaxed; energy of formation = 0.294 eV per atom; SG = Fm-3m, No. 225
1.0
4.159 0.433 2.765
1.981 4.525 0.857
-0.237 2.012 4.586
Hf V Bi
1 1 2
direct
0.500 0.500 0.500
0.000 0.000 0.000
0.750 0.750 0.750
0.250 0.250 0.250



GGA-PBE SiRuS2N, relaxed; formation energy without anion corrections = 0.619 eV/atom; SG = P4/mmm, No. 123
1.0
4.673 0.000 0.000
0.000 4.673 0.000
0.000 0.000 3.232
S Si N Ru
2 1 1 1
direct
0.000 0.500 0.000
0.500 0.000 0.000
0.000 0.000 0.000
0.000 0.000 0.500
0.500 0.500 0.500



GGA-PBE Ba2LiGa3Sn4, relaxed; energy of formation = -0.427 eV per atom; SG = P-4m2, No. 115
1.0
4.990 0.000 0.000
0.000 4.990 0.000
0.000 0.000 11.124
Ba Li Sn Ga
2 1 4 3
direct
0.500 0.000 0.257
0.000 0.500 0.743
0.500 0.500 0.500
0.000 0.500 0.374
0.500 0.000 0.626
0.500 0.500 0.000
0.000 0.000 0.000
0.000 0.500 0.130
0.500 0.000 0.870
0.000 0.000 0.500



GGA-PBE La3Cd4, relaxed; energy of formation = -0.134 eV per atom; SG = R-3m, No. 166
1.0
-5.347 -0.728 0.774
-2.024 -5.039 0.475
-1.223 -1.584 9.254
Cd La
4 3
direct
0.621 0.621 0.138
0.125 0.125 0.624
0.875 0.875 0.376
0.379 0.379 0.862
0.753 0.753 0.742
0.247 0.247 0.258
0.000 0.000 0.000



GGA-PBE UTlCuBr6, relaxed; formation energy without anion corrections = -0.949 eV/atom; SG = P-31c, No. 163
1.0
7.021 0.000 0.000
-3.510 6.080 0.000
0.000 0.000 15.205
Br Tl Cu U
12 2 2 2
direct
0.367 0.010 0.644
0.010 0.643 0.356
0.633 0.643 0.144
0.367 0.357 0.856
0.643 0.633 0.644
0.990 0.357 0.644
0.010 0.367 0.144
0.357 0.367 0.356
0.357 0.990 0.144
0.990 0.633 0.856
0.633 0.990 0.356
0.643 0.010 0.856
0.000 0.000 0.500
0.000 0.000 0.000
0.333 0.667 0.250
0.667 0.333 0.750
0.667 0.333 0.250
0.333 0.667 0.750



GGA-PBE Ta2GeTeCl, relaxed; formation energy without anion corrections = 1.259 eV/atom; SG = P4/mmm, No. 123
1.0
4.474 0.000 0.000
0.000 6.168 0.000
0.000 0.000 4.474
Te Ta Ge Cl
1 2 1 1
direct
0.000 0.500 0.000
0.000 0.000 0.500
0.500 0.000 0.000
0.500 0.500 0.500
0.000 0.000 0.000



GGA-PBE Ac4InPb2, relaxed; energy of formation = -0.262 eV per atom; SG = C2/m, No. 12
1.0
-0.587 4.063 2.375
-8.520 -0.456 -1.324
3.550 -5.591 5.705
Ac In Pb
4 1 2
direct
0.129 0.783 0.259
0.382 0.670 0.764
0.871 0.217 0.741
0.618 0.330 0.236
0.000 0.000 0.000
0.768 0.769 0.535
0.232 0.231 0.465



GGA-PBE TbGaSiRh3, relaxed; formation energy without anion corrections = -0.596 eV/atom; SG = Cmcm, No. 63
1.0
5.654 0.000 0.000
0.000 5.616 0.000
0.000 -2.808 7.435
Rh Ga Tb Si
6 2 2 2
direct
0.000 0.746 0.000
0.500 0.746 0.000
0.250 0.235 0.469
0.500 0.254 0.000
0.000 0.254 0.000
0.750 0.765 0.531
0.750 0.602 0.203
0.250 0.398 0.797
0.750 0.295 0.590
0.250 0.705 0.410
0.750 0.921 0.841
0.250 0.079 0.159



GGA-PBE ReAsW3, relaxed; energy of formation = 1.789 eV per atom; SG = Pm-3m, No. 221
1.0
4.519 0.000 0.000
0.000 4.519 0.000
0.000 0.000 4.519
W Re As
3 1 1
direct
0.500 0.000 0.000
0.000 0.000 0.500
0.000 0.500 0.000
0.500 0.500 0.500
0.000 0.000 0.000



GGA-PBE Tm2ZrV, relaxed; energy of formation = 0.571 eV per atom; SG = R-3m, No. 166
1.0
-0.229 2.369 2.210
-1.231 -0.634 2.938
9.497 -1.869 5.373
V Tm Zr
1 2 1
direct
0.000 0.000 0.000
0.915 0.915 0.256
0.085 0.085 0.744
0.500 0.500 0.500



GGA-PBE Tm2CSe, relaxed; formation energy without anion corrections = -1.134 eV/atom; SG = R3m, No. 160
1.0
-0.823 -3.495 0.784
2.509 -2.168 1.585
-1.612 -0.034 6.766
Se Tm C
1 2 1
direct
0.499 0.499 0.503
0.066 0.066 0.802
0.267 0.267 0.198
0.668 0.668 0.997



GGA-PBE CuTe2Mo, relaxed; formation energy without anion corrections = 0.333 eV/atom; SG = C2/m, No. 12
1.0
4.531 0.017 0.007
3.166 3.242 0.007
0.555 0.235 5.837
Cu Mo Te
1 1 2
direct
0.250 0.250 0.250
0.750 0.750 0.750
0.465 0.465 0.519
0.035 0.035 0.981